No. 1
# PBE-GGA TaCuSi2, optimized geometry
data_TaCuSi2
_symmetry_space_group_name_H-M 'I -4 2 d'
_symmetry_Int_Tables_number 122
_symmetry_space_group_name_Hall 'I -4 2bw'
_cell_length_a 6.637
_cell_length_b 6.637
_cell_length_c 5.539
_cell_angle_alpha 90.00
_cell_angle_beta 90.00
_cell_angle_gamma 90.00
loop_
_atom_site_label
_atom_site_fract_x
_atom_site_fract_y
_atom_site_fract_z
Ta1 0.000 0.000 0.000
Cu1 0.000 0.000 0.500
Si1 0.211 0.250 0.625
# ρ in Mg/m³: 8.19
# Formation energy from raw total energies in eV/atom: 0.22
# Total DFT energy (no corrections) in eV per atom: -6.48

No. 2
# PBE-GGA LaSmCdIr, optimized geometry
data_LaSmCdIr
_symmetry_space_group_name_H-M 'F -4 3 m'
_symmetry_Int_Tables_number 216
_symmetry_space_group_name_Hall 'F -4 2 3'
_cell_length_a 7.384
_cell_length_b 7.384
_cell_length_c 7.384
_cell_angle_alpha 90.00
_cell_angle_beta 90.00
_cell_angle_gamma 90.00
loop_
_atom_site_label
_atom_site_fract_x
_atom_site_fract_y
_atom_site_fract_z
La1 0.000 0.000 0.000
Sm1 0.000 0.000 0.500
Cd1 0.250 0.250 0.750
Ir1 0.250 0.250 0.250
# ρ in Mg/m³: 9.80
# ΔH_f (0 K) in kJ/mol of atoms: -41.81
# Total DFT energy (no corrections) in eV per atom: -5.29

No. 3
# PBE-GGA TbTl2I3Cl3, optimized geometry
data_TbTl2I3Cl3
_symmetry_space_group_name_H-M 'P -6 2 m'
_symmetry_Int_Tables_number 189
_symmetry_space_group_name_Hall 'P -6 -2'
_cell_length_a 9.9644
_cell_length_b 9.9644
_cell_length_c 3.6994
_cell_angle_alpha 90.00
_cell_angle_beta 90.00
_cell_angle_gamma 120.00
loop_
_atom_site_label
_atom_site_fract_x
_atom_site_fract_y
_atom_site_fract_z
Tb1 0.0000 0.0000 0.0000
Tl1 0.3333 0.6667 0.5000
I1 0.0000 0.5786 0.0000
Cl1 0.0000 0.1972 0.5000
# ρ in Mg/m³: 5.51
# Formation energy from raw total energies in eV/atom: -1.20
# Total DFT energy (no corrections) in eV per atom: -3.37

No. 4
# PBE-GGA Ce2CdAs4Pd3, optimized geometry
data_Ce2CdAs4Pd3
_symmetry_space_group_name_H-M 'P -4 m 2'
_symmetry_Int_Tables_number 115
_cell_length_a 4.451
_cell_length_b 4.451
_cell_length_c 10.375
_cell_angle_alpha 90.00
_cell_angle_beta 90.00
_cell_angle_gamma 90.00
loop_
_symmetry_equiv_pos_as_xyz
'x,y,z'
'y,-x,-z'
'-x,-y,z'
'-y,x,-z'
'-x,y,z'
'-y,-x,-z'
'x,-y,z'
'y,x,-z'
loop_
_atom_site_label
_atom_site_fract_x
_atom_site_fract_y
_atom_site_fract_z
Ce1 0.000 0.500 0.232
Cd1 0.000 0.000 0.500
As1 0.000 0.000 0.000
As2 0.000 0.500 0.648
As3 0.500 0.500 0.000
Pd1 0.000 0.500 0.884
Pd2 0.500 0.500 0.500
# ρ in Mg/m³: 8.17
# ΔH_f (0 K) in kJ/mol of atoms: -69.38
# Total DFT energy (no corrections) in eV per atom: -5.41

No. 5
# PBE-GGA Mg6Co, optimized geometry
data_Mg6Co
_symmetry_space_group_name_H-M 'P -3 1 m'
_symmetry_Int_Tables_number 162
_symmetry_space_group_name_Hall '-P 3 2'
_cell_length_a 5.6054
_cell_length_b 5.6054
_cell_length_c 5.5639
_cell_angle_alpha 90.00
_cell_angle_beta 90.00
_cell_angle_gamma 120.00
loop_
_atom_site_label
_atom_site_fract_x
_atom_site_fract_y
_atom_site_fract_z
Mg1 0.0000 0.3547 0.2407
Co1 0.0000 0.0000 0.5000
# ρ in Mg/m³: 2.25
# ΔH_f (0 K) in kJ/mol of atoms: 17.41
# Total DFT energy (no corrections) in eV per atom: -2.20

No. 6
# PBE-GGA Sr2BeCl, optimized geometry
data_Sr2BeCl
_symmetry_space_group_name_H-M 'A m m 2'
_symmetry_Int_Tables_number 38
_cell_length_a 5.078
_cell_length_b 3.813
_cell_length_c 12.381
_cell_angle_alpha 90.00
_cell_angle_beta 90.00
_cell_angle_gamma 90.00
loop_
_symmetry_equiv_pos_as_xyz
'x,y,z'
'-x,-y,z'
'-x,y,z'
'x,-y,z'
'x,y+1/2,z+1/2'
'-x,-y+1/2,z+1/2'
'-x,y+1/2,z+1/2'
'x,-y+1/2,z+1/2'
loop_
_atom_site_label
_atom_site_fract_x
_atom_site_fract_y
_atom_site_fract_z
Sr1 0.000 0.000 0.000
Sr2 0.500 0.000 0.254
Be1 0.000 0.000 0.734
Cl1 0.500 0.000 0.496
# ρ in Mg/m³: 3.04
# Energy above the most stable polymorph in this dataset in eV/f.u.: 0.44
# Formation energy from raw total energies in eV/atom: -0.47
# Total DFT energy (no corrections) in eV per atom: -2.70

No. 7
# PBE-GGA Sn12Sb5Au3, optimized geometry
data_Sn12Sb5Au3
_symmetry_space_group_name_H-M 'I a -3 d'
_symmetry_Int_Tables_number 230
_symmetry_space_group_name_Hall '-I 4bd 2c 3'
_cell_length_a 17.225
_cell_length_b 17.225
_cell_length_c 17.225
_cell_angle_alpha 90.00
_cell_angle_beta 90.00
_cell_angle_gamma 90.00
loop_
_atom_site_label
_atom_site_fract_x
_atom_site_fract_y
_atom_site_fract_z
Sn1 0.019 0.091 0.651
Sb1 0.000 0.000 0.000
Sb2 0.000 0.250 0.375
Au1 0.000 0.250 0.125
# ρ in Mg/m³: 6.82
# Formation energy from raw total energies in eV/atom: 0.09
# Total DFT energy (no corrections) in eV per atom: -3.84

No. 8
# PBE-GGA TmFe2Pd7, optimized geometry
data_TmFe2Pd7
_symmetry_space_group_name_H-M 'C m m m'
_symmetry_Int_Tables_number 65
_symmetry_space_group_name_Hall '-C 2 2'
_cell_length_a 7.221
_cell_length_b 12.403
_cell_length_c 4.390
_cell_angle_alpha 90.00
_cell_angle_beta 90.00
_cell_angle_gamma 90.00
loop_
_atom_site_label
_atom_site_fract_x
_atom_site_fract_y
_atom_site_fract_z
Tm1 0.000 0.000 0.000
Fe1 0.000 0.303 0.500
Pd1 0.000 0.221 0.000
Pd2 0.000 0.500 0.500
Pd3 0.187 0.119 0.500
# ρ in Mg/m³: 8.66
# ΔH_f (0 K) in kJ/mol of atoms: 10.85
# Total DFT energy (no corrections) in eV per atom: -5.66